Fe5Mo after structural relaxation. Source: Alexandria, functional PBE.

Unit cell a=4.6644 b=4.6644 c=4.6644 alpha=60.00 beta=60.00 gamma=60.00
Fractional coordinates of all 6 atoms:
1 Fe 0.0000 0.0000 0.0000
2 Fe 0.1228 0.6257 0.6257
3 Fe 0.6257 0.1228 0.6257
4 Fe 0.6257 0.6257 0.1228
5 Fe 0.6257 0.6257 0.6257
6 Mo 0.2500 0.2500 0.2500

Computed properties:
VASP energy	-8.803	eV per atom
symmetry	F-43m, No. 216

---

Tl3Ga2 after structural relaxation. Source: Alexandria, functional PBE.

Unit cell a=7.2757 b=7.2757 c=7.2757 alpha=62.60 beta=62.60 gamma=62.60
Fractional coordinates of all 10 atoms:
1 Tl 0.1313 0.7500 0.3687
2 Tl 0.2500 0.6313 0.8687
3 Tl 0.3687 0.1313 0.7500
4 Tl 0.6313 0.8687 0.2500
5 Tl 0.7500 0.3687 0.1313
6 Tl 0.8687 0.2500 0.6313
7 Ga 0.1761 0.1761 0.1761
8 Ga 0.3239 0.3239 0.3239
9 Ga 0.6761 0.6761 0.6761
10 Ga 0.8239 0.8239 0.8239

Computed properties:
VASP energy	-2.496	eV per atom
symmetry	R-3c, No. 167

---

Be2Cu2Sb after structural relaxation. Source: Alexandria, functional PBE.

Unit cell a=6.3070 b=6.3070 c=6.3070 alpha=148.42 beta=148.42 gamma=45.26
Fractional coordinates of all 5 atoms:
1 Be 0.2500 0.7500 0.5000
2 Be 0.7500 0.2500 0.5000
3 Cu 0.1172 0.1172 0.0000
4 Cu 0.8828 0.8828 0.0000
5 Sb 0.5000 0.5000 0.0000

Computed properties:
symmetry	I4/mmm, No. 139
uncorrected formation energy	0.23	eV/atom
relative energy among the computed polymorphs	0	meV per atom

---

NiRh2I2 after structural relaxation. Source: Alexandria, functional PBE.

Unit cell a=6.9701 b=6.9701 c=3.9893 alpha=90.00 beta=90.00 gamma=90.00
Fractional coordinates of all 10 atoms:
1 Ni 0.0000 0.0000 0.0000
2 Ni 0.5000 0.5000 0.0000
3 Rh 0.1417 0.3583 0.0000
4 Rh 0.3583 0.8583 0.0000
5 Rh 0.6417 0.1417 0.0000
6 Rh 0.8583 0.6417 0.0000
7 I 0.1752 0.6752 0.5000
8 I 0.3248 0.1752 0.5000
9 I 0.6752 0.8248 0.5000
10 I 0.8248 0.3248 0.5000

Computed properties:
symmetry	P4/mbm, No. 127
uncorrected formation energy	0.59	eV/atom
relative energy among the computed polymorphs	0	meV per atom

---

PmZnCuAs after structural relaxation. Source: Alexandria, functional PBE.

Unit cell a=4.8341 b=4.8341 c=4.8341 alpha=60.00 beta=60.00 gamma=60.00
Fractional coordinates of all 4 atoms:
1 Pm 0.0000 0.0000 0.0000
2 Zn 0.5000 0.5000 0.5000
3 Cu 0.2500 0.2500 0.2500
4 As 0.7500 0.7500 0.7500

Computed properties:
VASP energy	-3.962	eV per atom
symmetry	F-43m, No. 216

---

YZrAgAu after structural relaxation. Source: Alexandria, functional PBE.

Unit cell a=4.9952 b=4.9952 c=4.9952 alpha=60.00 beta=60.00 gamma=60.00
Fractional coordinates of all 4 atoms:
1 Y 0.0000 0.0000 0.0000
2 Zr 0.5000 0.5000 0.5000
3 Ag 0.2500 0.2500 0.2500
4 Au 0.7500 0.7500 0.7500

Computed properties:
VASP energy	-5.633	eV per atom
symmetry	F-43m, No. 216

---

Ba2Ge2H after structural relaxation. Source: Alexandria, functional PBE.

Unit cell a=7.4414 b=7.4414 c=9.6905 alpha=100.06 beta=100.06 gamma=34.17
Fractional coordinates of all 10 atoms:
1 Ba 0.0897 0.0897 0.1722
2 Ba 0.1736 0.1736 0.6399
3 Ba 0.8264 0.8264 0.3601
4 Ba 0.9103 0.9103 0.8278
5 Ge 0.3034 0.3034 0.0175
6 Ge 0.4703 0.4703 0.6030
7 Ge 0.5297 0.5297 0.3970
8 Ge 0.6966 0.6966 0.9825
9 H 0.2247 0.2247 0.3818
10 H 0.7753 0.7753 0.6182

Computed properties:
VASP energy	-3.707	eV per atom
symmetry	C2/m, No. 12

---

RbZrC3 after structural relaxation. Source: Alexandria, functional PBE.

Unit cell a=4.5223 b=4.5223 c=4.5223 alpha=90.00 beta=90.00 gamma=90.00
Fractional coordinates of all 5 atoms:
1 Rb 0.0000 0.0000 0.0000
2 Zr 0.5000 0.5000 0.5000
3 C 0.0000 0.5000 0.5000
4 C 0.5000 0.0000 0.5000
5 C 0.5000 0.5000 0.0000

Computed properties:
symmetry	Pm-3m, No. 221
relative energy among the computed polymorphs	0	meV per atom

---

| no. | D(E_F) (states/eV per cell) | total moment (μB per atom) |
| --- | --- | --- |
| 1 | 7.0 | 1.311 |
| 2 | 4.9 | 0.000 |
| 3 | 1.8 | 0.000 |
| 4 | 15.3 | 0.209 |
| 5 | 2.2 | 0.000 |
| 6 | 4.7 | 0.274 |
| 7 | 4.0 | 0.000 |
| 8 | 3.9 | 0.000 |